5
Lattice="4.860 0.000 0.000 0.000 4.860 0.000 0.000 0.000 4.860" Properties=species:S:1:pos:R:3 comment="LaMnAu3 (GGA-PBEsol, relaxed)" mass_density_g_cm3=11.355 final_energy_ev_per_atom=-5.400 spacegroup="No. 221" formation_enthalpy_0k_ev_per_atom=-0.024 magnetic_moment_mub_per_cell=3.83 pbc="T T T"
Au 0.000 0.000 2.430
Au 2.430 0.000 0.000
Au 0.000 2.430 0.000
Mn 0.000 0.000 0.000
La 2.430 2.430 2.430